No. 1
Below is an optimized crystal structure of Rb2TeH3, with properties calculated at the PBE-GGA level.

Properties
The space group is Cmcm. As for the total energy: -2.70 eV per atom.

Lattice parameters (Å, degrees): 7.4289 7.4289 6.1997 90.00 90.00 108.78
Sites, in units of the cell vectors:
Rb1 0.0928 0.3743 0.2500
Rb2 0.3743 0.0928 0.7500
Rb3 0.6257 0.9072 0.2500
Rb4 0.9072 0.6257 0.7500
Te1 0.1211 0.8789 0.2500
Te2 0.8789 0.1211 0.7500
H1 0.3023 0.6977 0.5850
H2 0.3023 0.6977 0.9150
H3 0.3096 0.6904 0.7500
H4 0.6904 0.3096 0.2500
H5 0.6977 0.3023 0.0850
H6 0.6977 0.3023 0.4150

No. 2
Below is an optimized crystal structure of RbTe2H2, with properties calculated at the PBE-GGA level.

Properties
For the energy above the most stable polymorph in this dataset, the calculation gives 1.306 eV per formula unit. The space group is P4/mbm.

Lattice parameters (Å, degrees): 9.4264 9.4264 3.6617 90.00 90.00 90.00
Sites, in units of the cell vectors:
Rb1 0.0000 0.0000 0.0000
Rb2 0.5000 0.5000 0.0000
Te1 0.1406 0.3594 0.0000
Te2 0.3594 0.8594 0.0000
Te3 0.6406 0.1406 0.0000
Te4 0.8594 0.6406 0.0000
H1 0.1943 0.3057 0.5000
H2 0.3057 0.8057 0.5000
H3 0.6943 0.1943 0.5000
H4 0.8057 0.6943 0.5000

No. 3
Below is an optimized crystal structure of RbTe2H2, with properties calculated at the PBE-GGA level.

Properties
For the energy above the most stable polymorph in this dataset, the calculation gives 0.538 eV per formula unit. The space group is P-1.

Lattice parameters (Å, degrees): 3.6187 4.3492 9.3240 78.38 78.91 89.83
Sites, in units of the cell vectors:
Rb1 0.0000 0.0000 0.0000
Te1 0.3575 0.3724 0.2872
Te2 0.6425 0.6276 0.7128
H1 0.3277 0.7243 0.3388
H2 0.6723 0.2757 0.6612

No. 4
Below is an optimized crystal structure of Rb2TeH8, with properties calculated at the PBE-GGA level.

Properties
The space group is Cmmm. As for the total energy: -3.01 eV per atom.

Lattice parameters (Å, degrees): 7.3136 7.3136 5.4745 90.00 90.00 90.04
Sites, in units of the cell vectors:
Rb1 0.0000 0.5000 0.0000
Rb2 0.5000 0.0000 0.0000
Te1 0.0000 0.0000 0.5000
H1 0.1743 0.8257 0.0710
H2 0.1743 0.8257 0.9290
H3 0.1748 0.1748 0.0710
H4 0.1748 0.1748 0.9290
H5 0.8252 0.8252 0.0710
H6 0.8252 0.8252 0.9290
H7 0.8257 0.1743 0.0710
H8 0.8257 0.1743 0.9290

No. 5
Below is an optimized crystal structure of RbTeH2, with properties calculated at the PBE-GGA level.

Properties
For the energy above the most stable polymorph in this dataset, the calculation gives 3.017 eV per formula unit. The space group is Fm-3m.

Lattice parameters (Å, degrees): 4.7765 4.7765 4.7765 60.00 60.00 60.00
Sites, in units of the cell vectors:
Rb1 0.0000 0.0000 0.0000
Te1 0.5000 0.5000 0.5000
H1 0.2500 0.2500 0.2500
H2 0.7500 0.7500 0.7500

No. 6
Below is an optimized crystal structure of RbTeH2, with properties calculated at the PBE-GGA level.

Properties
For the energy above the most stable polymorph in this dataset, the calculation gives 1.541 eV per formula unit. The space group is I-42d.

Lattice parameters (Å, degrees): 8.1122 8.1122 8.1122 143.64 143.64 52.37
Sites, in units of the cell vectors:
Rb1 0.0000 0.0000 0.0000
Rb2 0.7500 0.2500 0.5000
Te1 0.2500 0.7500 0.5000
Te2 0.5000 0.5000 0.0000
H1 0.3731 0.6250 0.2481
H2 0.3750 0.6231 0.7481
H3 0.3769 0.1250 0.7519
H4 0.8750 0.6269 0.2519

> Number 2 is which compound?

RbTe2H2